VASP calculation (GGA-PBE) on Tm8SnRh2 after structural relaxation.

Cell: 5.378 7.828 7.828 Å, 113.45 98.07 98.07°
Element x y z (fractional)
Tm  0.422  0.928  0.672
Tm  0.422  0.672  0.928
Tm  0.804  0.613  0.613
Tm  0.000  0.758  0.248
Tm  0.196  0.393  0.393
Tm  0.000  0.248  0.758
Tm  0.578  0.334  0.078
Tm  0.578  0.078  0.334
Rh  0.500  0.309  0.697
Rh  0.500  0.697  0.309
Sn  0.000  0.003  0.003

Results
* volume: 26.6 Å³/atom
* total magnetic moment: 0.007 μB per atom
* E: -5.42 eV/atom
* symmetry: C2/m
* energy of formation from the pure elements: -463 meV/atom